# 1
This record from OQMD describes NaHfAg2F6 after structural relaxation. The functional is GGA-PBE.

Unit cell a=3.509 b=3.509 c=10.217 alpha=90.00 beta=90.00 gamma=90.00
Fractional coordinates of all 10 atoms:
Na  0.000  0.000  0.000
Hf  0.000  0.000  0.500
Ag  0.500  0.500  0.208
Ag  0.500  0.500  0.792
F  0.000  0.500  0.366
F  0.000  0.500  0.634
F  0.500  0.000  0.366
F  0.500  0.000  0.634
F  0.500  0.500  0.000
F  0.500  0.500  0.500

Computed properties:
calculated volume: 125.78 Å³/cell
electronic total energy: -4.832 eV per atom
space-group type: P4/mmm

=====

# 2
This record from OQMD describes BaPuOs after structural relaxation. The functional is GGA-PBE.

Unit cell a=4.755 b=4.755 c=4.755 alpha=60.00 beta=60.00 gamma=60.00
Fractional coordinates of all 3 atoms:
Ba  0.000  0.000  0.000
Pu  0.250  0.250  0.250
Os  0.750  0.750  0.750

Computed properties:
calculated volume: 76.04 Å³/cell
electronic total energy: -6.915 eV per atom
space-group type: F-43m
polymorph energy (0 for the lowest one): 1594 meV/atom